# 1
DFT (GGA-PBE) results for RbAuS3 after structural relaxation.

Properties
The magnetic moment is 0.819 μB/atom. The raw formation energy comes out at 740 kJ/mol of formula units.

```
data_RbAuS3
_chemical_formula_sum 'Rb1 Au1 S3'
_space_group_name_H-M_alt 'P m -3 m'
_space_group_IT_number 221
_space_group_name_Hall '-P 4 2 3'
_cell_length_a 5.949
_cell_length_b 5.949
_cell_length_c 5.949
_cell_angle_alpha 90.00
_cell_angle_beta 90.00
_cell_angle_gamma 90.00
loop_
_atom_site_label
_atom_site_fract_x
_atom_site_fract_y
_atom_site_fract_z
_atom_site_occupancy
Rb1 0.000 0.000 0.000 1
Au1 0.500 0.500 0.500 1
S1 0.000 0.000 0.500 1
```

# 2
DFT (GGA-PBE) results for MgBeFe2 after structural relaxation.

Properties
The magnetic moment is 1.077 μB/atom. The value obtained for the energy relative to the elements is 0.95 eV per formula unit. Its polymorph energy (0 for the lowest one) is 167.6 meV/atom.

```
data_MgBeFe2
_chemical_formula_sum 'Mg2 Be2 Fe4'
_space_group_name_H-M_alt 'C m m m'
_space_group_IT_number 65
_space_group_name_Hall '-C 2 2'
_cell_length_a 5.079
_cell_length_b 7.524
_cell_length_c 2.561
_cell_angle_alpha 90.00
_cell_angle_beta 90.00
_cell_angle_gamma 90.00
loop_
_atom_site_label
_atom_site_fract_x
_atom_site_fract_y
_atom_site_fract_z
_atom_site_occupancy
Mg1 0.000 0.000 0.000 1
Be1 0.000 0.500 0.000 1
Fe1 0.250 0.250 0.500 1
```

# 3
DFT (GGA-PBE) results for PrSm3In after structural relaxation.

Properties
The magnetic moment is 0.000 μB/atom. The value obtained for the energy relative to the elements is -0.11 eV per formula unit. Its polymorph energy (0 for the lowest one) is 162.2 meV/atom.

```
data_PrSm3In
_chemical_formula_sum 'Pr6 Sm18 In6'
_space_group_name_H-M_alt 'R -3 c'
_space_group_IT_number 167
_space_group_name_Hall '-R 3 2"c'
_cell_length_a 9.5661
_cell_length_b 9.5661
_cell_length_c 12.4999
_cell_angle_alpha 90.00
_cell_angle_beta 90.00
_cell_angle_gamma 120.00
loop_
_atom_site_label
_atom_site_fract_x
_atom_site_fract_y
_atom_site_fract_z
_atom_site_occupancy
Pr1 0.0000 0.0000 0.0000 1
Sm1 0.0000 0.3323 0.2500 1
In1 0.0000 0.0000 0.2500 1
```

# 4
DFT (GGA-PBE) results for MnSn3Ru after structural relaxation.

Properties
The magnetic moment is 0.646 μB/atom. The value obtained for the energy relative to the elements is 4.20 eV per formula unit. Its polymorph energy (0 for the lowest one) is 0.0 meV/atom.

```
data_MnSn3Ru
_chemical_formula_sum 'Mn1 Sn3 Ru1'
_space_group_name_H-M_alt 'P m -3 m'
_space_group_IT_number 221
_space_group_name_Hall '-P 4 2 3'
_cell_length_a 4.886
_cell_length_b 4.886
_cell_length_c 4.886
_cell_angle_alpha 90.00
_cell_angle_beta 90.00
_cell_angle_gamma 90.00
loop_
_atom_site_label
_atom_site_fract_x
_atom_site_fract_y
_atom_site_fract_z
_atom_site_occupancy
Mn1 0.000 0.000 0.000 1
Sn1 0.000 0.000 0.500 1
Ru1 0.500 0.500 0.500 1
```

# 5
DFT (GGA-PBE) results for ThBe2Si2Mo after structural relaxation.

Properties
The magnetic moment is 0.079 μB/atom. The raw formation energy comes out at -204 kJ/mol of formula units.

```
data_ThBe2Si2Mo
_chemical_formula_sum 'Th1 Be2 Si2 Mo1'
_space_group_name_H-M_alt 'P -3 m 1'
_space_group_IT_number 164
_space_group_name_Hall '-P 3 2"'
_cell_length_a 3.8152
_cell_length_b 3.8152
_cell_length_c 7.3344
_cell_angle_alpha 90.00
_cell_angle_beta 90.00
_cell_angle_gamma 120.00
loop_
_atom_site_label
_atom_site_fract_x
_atom_site_fract_y
_atom_site_fract_z
_atom_site_occupancy
Th1 0.0000 0.0000 0.0000 1
Be1 0.3333 0.6667 0.3049 1
Si1 0.3333 0.6667 0.7118 1
Mo1 0.0000 0.0000 0.5000 1
```

# 6
DFT (GGA-PBE) results for Cs3Hg2H6 after structural relaxation.

Properties
The magnetic moment is 0.000 μB/atom. The total energy comes out at -2.12 eV per atom.

```
data_Cs3Hg2H6
_chemical_formula_sum 'Cs6 Hg4 H12'
_space_group_name_H-M_alt 'C 1 2/m 1'
_space_group_IT_number 12
_cell_length_a 6.055
_cell_length_b 6.055
_cell_length_c 12.781
_cell_angle_alpha 90.00
_cell_angle_beta 103.44
_cell_angle_gamma 90.00
loop_
_space_group_symop_operation_xyz
'x,y,z'
'-x,-y,-z'
'-x,y,-z'
'x,-y,z'
'x+1/2,y+1/2,z'
'-x+1/2,-y+1/2,-z'
'-x+1/2,y+1/2,-z'
'x+1/2,-y+1/2,z'
loop_
_atom_site_label
_atom_site_fract_x
_atom_site_fract_y
_atom_site_fract_z
_atom_site_occupancy
Cs1 0.000 0.000 0.000 1
Cs2 0.180 0.000 0.369 1
Hg1 0.098 0.500 0.202 1
H1 0.161 0.250 0.816 1
H2 0.179 0.500 0.366 1
```

# 7
DFT (GGA-PBE) results for NdB2Rh4 after structural relaxation.

Properties
The magnetic moment is 0.000 μB/atom. The value obtained for the energy relative to the elements is -0.72 eV per formula unit.

```
data_NdB2Rh4
_chemical_formula_sum 'Nd2 B4 Rh8'
_space_group_name_H-M_alt 'I m m m'
_space_group_IT_number 71
_space_group_name_Hall '-I 2 2'
_cell_length_a 4.119
_cell_length_b 5.657
_cell_length_c 8.786
_cell_angle_alpha 90.00
_cell_angle_beta 90.00
_cell_angle_gamma 90.00
loop_
_atom_site_label
_atom_site_fract_x
_atom_site_fract_y
_atom_site_fract_z
_atom_site_occupancy
Nd1 0.000 0.000 0.000 1
B1 0.218 0.500 0.000 1
Rh1 0.000 0.235 0.342 1
```

# 8
DFT (GGA-PBE) results for PdPtO3 after structural relaxation.

Properties
The magnetic moment is 0.019 μB/atom. The raw formation energy comes out at -117 kJ/mol of formula units.

```
data_PdPtO3
_chemical_formula_sum 'Pd6 Pt6 O18'
_space_group_name_H-M_alt 'R -3'
_space_group_IT_number 148
_space_group_name_Hall '-R 3'
_cell_length_a 5.3625
_cell_length_b 5.3625
_cell_length_c 14.7008
_cell_angle_alpha 90.00
_cell_angle_beta 90.00
_cell_angle_gamma 120.00
loop_
_atom_site_label
_atom_site_fract_x
_atom_site_fract_y
_atom_site_fract_z
_atom_site_occupancy
Pd1 0.0000 0.0000 0.1446 1
Pt1 0.0000 0.0000 0.3431 1
O1 0.0132 0.3117 0.2558 1
```